Compound: Tb12In5Ag2
Source: the Alexandria database
Functional: PBE
Structure: optimized geometry

a = 7.1062 Å, b = 9.3708 Å, c = 9.1182 Å
α = 83.51°, β = 90.00°, γ = 112.28°
Fractional coordinates of all 19 atoms:
In1 0.7025 0.4050 0.7607
Tb1 0.8993 0.3034 0.4867
Tb2 0.1007 0.6966 0.5133
Tb3 0.5959 0.6966 0.5133
In2 0.2975 0.5950 0.2393
In3 0.2274 0.4548 0.7518
Tb4 0.4034 0.3186 0.0738
Ag1 0.6837 0.0000 0.0000
Tb5 0.9152 0.3186 0.0738
Ag2 0.3163 0.0000 0.0000
Tb6 0.0848 0.6814 0.9262
Tb7 0.4969 0.9938 0.6907
Tb8 0.9578 0.9155 0.1896
Tb9 0.0422 0.0845 0.8104
In4 0.0000 0.0000 0.5000
Tb10 0.5031 0.0062 0.3093
In5 0.7726 0.5452 0.2482
Tb11 0.5966 0.6814 0.9262
Tb12 0.4041 0.3034 0.4867

Values from the calculation:
Magnetization ... 0.00 μB per formula unit
ΔE_f ... -0.178 eV/atom